Here is a relaxed structure of RbV2O7 from Alexandria. Energies are from GGA+U.

a = 6.009 Å, b = 13.001 Å, c = 3.572 Å
α = 90.00°, β = 90.00°, γ = 90.00°
Space group Cmmm (No. 65)
One atom of each set of equivalent atoms:
Rb: 0.000 0.000 0.000 x2
V: 0.000 0.274 0.500 x4
O: 0.000 0.235 0.000 x4
O: 0.000 0.500 0.500 x2
O: 0.231 0.353 0.500 x8

Computed properties:
* calculated total energy: -6.26 eV/atom
* density: 3.56 g/cm3